Density functional theory data (PBE with a Hubbard U) for crystalline TlCoGeF6 at its relaxed geometry.

Computed properties:
electronic total energy	-4.487	eV per atom

Structure (POSCAR):
```
TlCoGeF6
1.0
5.616 0.000 0.000
-2.808 4.863 0.000
0.000 0.000 11.582
Tl Co Ge F
2 2 2 12
Direct
0.000 0.000 0.000 Tl
0.000 0.000 0.500 Tl
0.333 0.667 0.250 Co
0.667 0.333 0.750 Co
0.333 0.667 0.750 Ge
0.667 0.333 0.250 Ge
0.051 0.398 0.158 F
0.051 0.653 0.342 F
0.347 0.398 0.342 F
0.347 0.949 0.158 F
0.398 0.051 0.658 F
0.398 0.347 0.842 F
0.602 0.653 0.158 F
0.602 0.949 0.342 F
0.653 0.051 0.842 F
0.653 0.602 0.658 F
0.949 0.347 0.658 F
0.949 0.602 0.842 F
```